First-principles (PBE) data for an optimized crystal structure of PrYEr2Sc, as listed in the Alexandria database. Values from VASP.

Structure (Quantum ESPRESSO input):
```
&SYSTEM
  ibrav = 0, nat = 10, ntyp = 4
/
ATOMIC_SPECIES
Pr 140.91 Pr.upf
Y 88.91 Y.upf
Er 167.26 Er.upf
Sc 44.96 Sc.upf
CELL_PARAMETERS angstrom
7.842 0.000 0.000
0.000 4.986 0.000
-0.050 0.000 7.850
ATOMIC_POSITIONS angstrom
Pr 1.903 1.247 1.888
Pr 5.889 3.740 5.962
Y 3.458 1.247 5.127
Y 4.334 3.740 2.722
Er 1.124 3.740 4.294
Er 2.623 3.740 7.435
Er 5.169 1.247 0.415
Er 6.668 1.247 3.556
Sc 0.336 1.247 6.671
Sc 7.456 3.740 1.178
```


First-principles (PBE) data for an optimized crystal structure of KRb3Cu4Br12, as listed in the Alexandria database. Values from VASP.

Output
For the formation energy (no corrections), the calculation gives -16.3 eV/f.u.

Structure (Quantum ESPRESSO input):
```
&SYSTEM
  ibrav = 0, nat = 20, ntyp = 4
/
ATOMIC_SPECIES
K 39.10 K.upf
Rb 85.47 Rb.upf
Cu 63.55 Cu.upf
Br 79.90 Br.upf
CELL_PARAMETERS angstrom
7.460 4.307 4.718
-7.460 4.307 4.718
0.000 -8.615 4.718
ATOMIC_POSITIONS angstrom
K 0.000 0.000 0.000
Rb -3.845 -1.955 4.718
Rb 3.615 -2.352 4.718
Rb 0.230 4.307 4.718
Cu -3.484 -6.035 7.077
Cu 0.000 0.000 7.077
Cu -3.484 6.035 7.077
Cu 6.968 0.000 7.077
Br -1.186 -2.132 2.412
Br -5.603 0.000 7.077
Br -1.253 2.093 2.412
Br 2.439 0.038 2.412
Br -2.308 0.000 7.077
Br 2.802 -4.853 7.077
Br 1.154 -1.999 7.077
Br 1.154 1.999 7.077
Br -1.253 -2.093 11.742
Br -1.186 2.132 11.742
Br 2.802 4.853 7.077
Br 2.439 -0.038 11.742
```


First-principles (PBE) data for an optimized crystal structure of Ac3Sm3Tl2Hg, as listed in the Alexandria database. Values from VASP.

Structure (Quantum ESPRESSO input):
```
&SYSTEM
  ibrav = 0, nat = 9, ntyp = 4
/
ATOMIC_SPECIES
Ac 227.00 Ac.upf
Sm 150.36 Sm.upf
Tl 204.38 Tl.upf
Hg 200.59 Hg.upf
CELL_PARAMETERS angstrom
9.461 0.000 0.000
-4.731 8.194 0.000
0.000 0.000 3.965
ATOMIC_POSITIONS angstrom
Ac -3.427 5.936 0.000
Ac 1.304 2.258 0.000
Ac 6.854 0.000 0.000
Sm -1.870 3.240 1.983
Sm 3.741 0.000 1.983
Sm 2.860 4.954 1.983
Tl 0.000 5.462 0.000
Tl 4.731 2.731 0.000
Hg 0.000 0.000 1.983
```


First-principles (PBE) data for an optimized crystal structure of GdTmRh, as listed in the Alexandria database. Values from VASP.

Output
The relative energy among the computed polymorphs comes out at 20 meV per atom.

Structure (Quantum ESPRESSO input):
```
&SYSTEM
  ibrav = 0, nat = 3, ntyp = 3
/
ATOMIC_SPECIES
Gd 157.25 Gd.upf
Tm 168.93 Tm.upf
Rh 102.91 Rh.upf
CELL_PARAMETERS angstrom
-1.724 1.724 6.265
1.724 -1.724 6.265
1.724 1.724 -6.265
ATOMIC_POSITIONS angstrom
Gd 0.000 0.000 0.000
Tm 0.000 0.000 3.290
Rh 0.000 0.000 8.001
```


Number 1: uncorrected energy -5.29 eV/atom. Number 2: uncorrected energy -2.84 eV/atom. Number 3: uncorrected energy -3.73 eV/atom. Number 4: uncorrected energy -9.20 eV/atom.